Entry from the Alexandria database: an optimized crystal structure of KNi3Ir (PBE).

Cell lengths 4.700, 4.700, 4.700 Å; angles 90.00, 90.00, 90.00 degrees
Positions (direct):
K 0.000 0.000 0.000
Ni 0.000 0.500 0.500
Ni 0.500 0.000 0.500
Ni 0.500 0.500 0.000
Ir 0.500 0.500 0.500

Computed properties:
Energy relative to the lowest polymorph listed for this composition ... 0 meV per atom
Formation energy ... 0.884 eV per atom
SG ... Pm-3m (221)

Entry from the Alexandria database: an optimized crystal structure of KNiIr3 (PBE).

Cell lengths 4.633, 4.633, 4.633 Å; angles 90.00, 90.00, 90.00 degrees
Positions (direct):
K 0.000 0.000 0.000
Ni 0.500 0.500 0.500
Ir 0.000 0.500 0.500
Ir 0.500 0.000 0.500
Ir 0.500 0.500 0.000

Computed properties:
Energy relative to the lowest polymorph listed for this composition ... 0 meV per atom
Formation energy ... 1.421 eV per atom
SG ... Pm-3m (221)

Entry from the Alexandria database: an optimized crystal structure of K2NiIr (PBE).

Cell lengths 2.893, 2.893, 32.487 Å; angles 90.00, 90.00, 120.00 degrees
Positions (direct):
K 0.000 0.000 0.249
K 0.000 0.000 0.751
K 0.333 0.667 0.418
K 0.333 0.667 0.916
K 0.667 0.333 0.084
K 0.667 0.333 0.582
Ni 0.000 0.000 0.500
Ni 0.333 0.667 0.167
Ni 0.667 0.333 0.833
Ir 0.000 0.000 0.000
Ir 0.333 0.667 0.667
Ir 0.667 0.333 0.333

Computed properties:
Energy relative to the lowest polymorph listed for this composition ... 519 meV per atom
Formation energy ... 0.933 eV per atom
SG ... R-3m (166)

Entry from the Alexandria database: an optimized crystal structure of K2NiIr (PBE).

Cell lengths 3.975, 3.975, 10.483 Å; angles 90.00, 90.00, 90.00 degrees
Positions (direct):
K 0.000 0.500 0.250
K 0.000 0.500 0.750
K 0.500 0.000 0.250
K 0.500 0.000 0.750
Ni 0.000 0.000 0.000
Ni 0.500 0.500 0.500
Ir 0.000 0.000 0.500
Ir 0.500 0.500 0.000

Computed properties:
Energy relative to the lowest polymorph listed for this composition ... 583 meV per atom
Formation energy ... 0.996 eV per atom
SG ... I4/mmm (139)

Entry from the Alexandria database: an optimized crystal structure of K2NiIr (PBE).

Cell lengths 3.984, 3.992, 10.480 Å; angles 90.00, 90.00, 90.00 degrees
Positions (direct):
K 0.000 0.000 0.249
K 0.000 0.000 0.751
K 0.500 0.500 0.249
K 0.500 0.500 0.751
Ni 0.000 0.500 0.000
Ni 0.500 0.000 0.000
Ir 0.000 0.500 0.500
Ir 0.500 0.000 0.500

Computed properties:
Energy relative to the lowest polymorph listed for this composition ... 549 meV per atom
Formation energy ... 0.963 eV per atom
SG ... Cmmm (65)

Entry from the Alexandria database: an optimized crystal structure of KNiIr2 (PBE).

Cell lengths 5.263, 5.263, 2.512 Å; angles 90.00, 90.00, 90.00 degrees
Positions (direct):
K 0.000 0.000 0.000
Ni 0.500 0.500 0.000
Ir 0.000 0.500 0.500
Ir 0.500 0.000 0.500

Computed properties:
Energy relative to the lowest polymorph listed for this composition ... 583 meV per atom
Formation energy ... 1.223 eV per atom
SG ... P4/mmm (123)

Entry from the Alexandria database: an optimized crystal structure of KNiIr3 (PBE).

Cell lengths 4.665, 4.665, 4.665 Å; angles 90.00, 90.00, 90.00 degrees
Positions (direct):
K 0.000 0.000 0.000
Ni 0.500 0.500 0.500
Ir 0.000 0.000 0.500
Ir 0.000 0.500 0.000
Ir 0.500 0.000 0.000

Computed properties:
Energy relative to the lowest polymorph listed for this composition ... 1933 meV per atom
Formation energy ... 3.354 eV per atom
SG ... Pm-3m (221)

Entry from the Alexandria database: an optimized crystal structure of KNiIr2 (PBE).

Cell lengths 2.637, 4.196, 7.212 Å; angles 90.00, 100.49, 90.00 degrees
Positions (direct):
K 0.000 0.000 0.000
Ni 0.000 0.000 0.500
Ir 0.353 0.500 0.660
Ir 0.647 0.500 0.340

Computed properties:
Energy relative to the lowest polymorph listed for this composition ... 86 meV per atom
Formation energy ... 0.726 eV per atom
SG ... P2/m (10)

no.,mass density (g cm⁻³)
1,6.5
2,11.3
3,7.0
4,6.6
5,6.6
6,11.5
7,11.0
8,10.2